# FeHSe2

A relaxed FeHSe2 crystal (PBE, the Alexandria database).

Symmetry: I-42d, No. 122
Energy above the most stable polymorph in this dataset: 1.22 eV per formula unit

```
8
Lattice="5.117 0.000 0.000 0.000 5.117 0.000 2.559 2.559 4.947" Properties=species:S:1:pos:R:3 pbc="T T T"
Fe 0.000 0.000 0.000
Fe 5.117 2.559 2.474
Se 1.356 3.838 1.237
Se 3.838 3.914 3.711
Se 3.762 1.279 1.237
Se 6.397 6.320 3.711
H 2.559 5.117 2.474
H 2.559 2.559 0.000
```


# Li2GaPt2

A relaxed Li2GaPt2 crystal (PBE, the Alexandria database).

Symmetry: P4/mbm, No. 127
Calculated formation energy: -233 kJ/mol of formula units
Energy above the most stable polymorph in this dataset: 0.53 eV per formula unit

```
10
Lattice="-3.122 5.155 -3.403 -3.945 -4.598 -3.346 -1.941 0.176 2.046" Properties=species:S:1:pos:R:3 pbc="T T T"
Li -5.185 1.771 -5.070
Li -4.720 -2.083 -4.297
Li -1.881 -1.214 -1.679
Li -2.347 2.639 -2.452
Pt -4.278 -2.106 -1.926
Pt -2.687 0.822 -0.668
Pt -4.728 2.838 -2.777
Pt -6.320 -0.089 -4.036
Ga 0.000 0.000 0.000
Ga -3.533 0.278 -3.375
```


# Mg3H2Ir2

A relaxed Mg3H2Ir2 crystal (PBE, the Alexandria database).

Symmetry: C2/m, No. 12
Energy above the most stable polymorph in this dataset: 0.25 eV per formula unit

```
7
Lattice="-2.803 -3.088 1.261 2.481 2.237 3.453 -1.825 5.002 0.651" Properties=species:S:1:pos:R:3 pbc="T T T"
Mg 0.412 0.133 3.990
Mg -1.609 0.876 1.326
Mg -1.147 3.859 2.116
H -0.369 1.996 3.053
H -1.770 0.452 3.684
Ir 0.926 1.844 1.803
Ir -1.663 2.147 4.304
```


# Ho6Sb3P2Se

A relaxed Ho6Sb3P2Se crystal (PBE, the Alexandria database).

Symmetry: C2/m, No. 12
E_form (uncorrected): -1.3840 eV/atom

```
12
Lattice="4.170 0.000 0.000 0.000 8.416 0.263 -2.085 -2.463 8.809" Properties=species:S:1:pos:R:3 pbc="T T T"
Sb 2.085 -0.252 5.974
Sb 2.085 4.208 0.131
Sb 0.000 6.205 3.098
Ho 2.085 0.033 2.974
Ho 0.000 2.055 0.210
Ho 0.000 2.013 5.880
Ho 0.000 5.920 6.098
Ho 2.085 3.941 3.192
Ho 2.085 3.899 8.862
Se 2.085 0.000 0.000
P 0.000 1.980 3.035
P 2.085 3.974 6.037
```


# AcIO

A relaxed AcIO crystal (PBE, the Alexandria database).

Symmetry: P-6m2, No. 187
E_form (uncorrected): -2.5619 eV/atom

```
3
Lattice="5.481 0.000 0.000 0.000 4.192 0.000 0.000 -2.096 3.630" Properties=species:S:1:pos:R:3 pbc="T T T"
Ac 0.913 0.000 0.000
O 0.913 0.000 2.420
I 3.655 2.096 1.210
```


# CaMg2

A relaxed CaMg2 crystal (PBE, the Alexandria database).

Symmetry: P4/mmm, No. 123
Calculated formation energy: 52 kJ/mol of formula units

```
3
Lattice="-0.404 -4.097 0.798 3.818 -0.687 -1.594 2.276 0.774 5.121" Properties=species:S:1:pos:R:3 pbc="T T T"
Mg 0.936 -1.662 2.960
Mg 3.047 0.044 1.764
Ca 0.000 0.000 0.000
```


# SmHgI3

A relaxed SmHgI3 crystal (PBE, the Alexandria database).

Symmetry: R32, No. 155
E_form (uncorrected): -1.0745 eV/atom
Energy above the most stable polymorph in this dataset: 0.17 eV per formula unit

```
10
Lattice="7.486 0.000 3.566 2.894 6.904 3.566 -0.127 -0.085 9.908" Properties=species:S:1:pos:R:3 pbc="T T T"
I 5.888 3.902 11.744
I 8.110 2.917 7.079
I 2.151 3.922 9.970
I 4.377 2.898 5.295
I 5.804 6.352 7.069
I 4.427 0.468 9.960
Hg 9.062 6.028 9.897
Hg 1.190 0.791 7.143
Sm 6.796 4.521 14.654
Sm 3.456 2.299 2.386
```


# ZrTaBSe2

A relaxed ZrTaBSe2 crystal (PBE, the Alexandria database).

Symmetry: P4/mmm, No. 123
E_form (uncorrected): 0.3743 eV/atom

```
5
Lattice="4.577 0.000 0.000 0.000 4.222 0.000 0.000 0.000 4.577" Properties=species:S:1:pos:R:3 pbc="T T T"
Ta 0.000 2.111 0.000
B 0.000 0.000 0.000
Zr 2.289 2.111 2.289
Se 2.289 0.000 0.000
Se 0.000 0.000 2.289
```


# BTe2P

A relaxed BTe2P crystal (PBE, the Alexandria database).

Symmetry: R-3m, No. 166
E_form (uncorrected): 0.9533 eV/atom
Energy above the most stable polymorph in this dataset: 1.07 eV per formula unit

```
4
Lattice="2.016 0.000 8.315 -1.008 1.746 8.315 -1.008 -1.746 8.315" Properties=species:S:1:pos:R:3 pbc="T T T"
P 0.000 0.000 0.000
Te 0.000 0.000 22.263
Te 0.000 0.000 2.683
B 0.000 0.000 12.473
```


# Nd2CuAs4Pd3

A relaxed Nd2CuAs4Pd3 crystal (PBE, the Alexandria database).

Symmetry: P-4m2, No. 115
Calculated formation energy: -766 kJ/mol of formula units

```
10
Lattice="-2.257 -1.226 3.509 3.127 -2.846 1.017 4.744 7.201 5.568" Properties=species:S:1:pos:R:3 pbc="T T T"
As 0.435 -2.036 2.263
As 1.858 3.922 5.261
As 3.320 1.244 2.570
As 0.000 0.000 0.000
Pd 3.001 5.656 6.602
Pd 2.177 -0.491 1.229
Pd 2.372 3.601 2.784
Nd 0.075 1.214 3.167
Nd 5.104 3.951 4.664
Cu 2.806 1.565 5.047
```


# MnAl2Pt2

A relaxed MnAl2Pt2 crystal (PBE, the Alexandria database).

Symmetry: P4/mbm, No. 127
Calculated formation energy: -342 kJ/mol of formula units
Energy above the most stable polymorph in this dataset: 0.00 eV per formula unit

```
10
Lattice="7.397 0.000 0.000 0.000 7.397 0.000 0.000 0.000 2.819" Properties=species:S:1:pos:R:3 pbc="T T T"
Mn 0.000 0.000 0.000
Mn 3.699 3.699 0.000
Pt 1.071 2.627 0.000
Pt 6.326 4.770 0.000
Pt 4.770 1.071 0.000
Pt 2.627 6.326 0.000
Al 4.834 6.262 1.410
Al 6.262 2.563 1.410
Al 2.563 1.135 1.410
Al 1.135 4.834 1.410
```


# LaPtSe

A relaxed LaPtSe crystal (PBE, the Alexandria database).

Symmetry: P-6m2, No. 187
E_form (uncorrected): -1.2642 eV/atom
Energy above the most stable polymorph in this dataset: 0.00 eV per formula unit

```
3
Lattice="-4.267 1.139 -0.594 1.809 -3.234 -2.476 -1.098 -2.695 2.718" Properties=species:S:1:pos:R:3 pbc="T T T"
Se -2.790 -1.665 0.136
Pt -0.766 -3.126 -0.487
La -1.098 -2.694 2.718
```


# ScPdCl3

A relaxed ScPdCl3 crystal (PBE, the Alexandria database).

Symmetry: Pm-3m, No. 221
E_form (uncorrected): -1.0005 eV/atom
Energy above the most stable polymorph in this dataset: 0.00 eV per formula unit

```
5
Lattice="4.964 0.000 0.000 0.000 4.964 0.000 0.000 0.000 4.964" Properties=species:S:1:pos:R:3 pbc="T T T"
Cl 0.000 0.000 2.482
Cl 2.482 0.000 0.000
Cl 0.000 2.482 0.000
Pd 2.482 2.482 2.482
Sc 0.000 0.000 0.000
```


# TaCoSi3

A relaxed TaCoSi3 crystal (PBE, the Alexandria database).

Symmetry: Pm-3m, No. 221
E_form (uncorrected): 1.2021 eV/atom

```
5
Lattice="-4.124 -1.786 1.766 -1.298 -1.391 -4.438 2.150 -4.265 0.708" Properties=species:S:1:pos:R:3 pbc="T T T"
Co -1.636 -3.721 -0.982
Si -0.649 -0.695 -2.219
Si -2.062 -0.893 0.883
Si 1.075 -2.132 0.354
Ta 0.000 0.000 0.000
```


# Sm3ThSc2Se6

A relaxed Sm3ThSc2Se6 crystal (PBE, the Alexandria database).

Symmetry: C2/m, No. 12
E_form (uncorrected): -1.6697 eV/atom

```
12
Lattice="-3.637 1.747 -0.439 -0.826 -3.578 -7.387 -1.734 -6.899 5.671" Properties=species:S:1:pos:R:3 pbc="T T T"
Se -3.125 -1.568 0.894
Se -0.284 -1.048 -1.816
Se -5.913 -7.683 -0.339
Se -2.679 -5.478 0.398
Se -3.071 -7.162 -3.049
Se -3.518 -3.252 -2.553
Th -1.818 0.873 -0.220
Sm -2.231 -0.916 -3.913
Sm -1.818 -4.895 -4.413
Sm -4.379 -3.835 2.258
Sc -4.745 -5.548 -1.520
Sc -1.451 -3.182 -0.635
```


# TmSc2Co

A relaxed TmSc2Co crystal (PBE, the Alexandria database).

Symmetry: Cmcm, No. 63
Calculated formation energy: -75 kJ/mol of formula units
Energy above the most stable polymorph in this dataset: 0.07 eV per formula unit

```
8
Lattice="-3.167 1.302 0.582 0.145 -5.403 2.498 2.825 3.532 7.475" Properties=species:S:1:pos:R:3 pbc="T T T"
Co 0.004 -1.435 3.230
Co -0.201 0.866 7.325
Sc -1.797 -0.461 1.611
Sc 0.583 -1.380 6.252
Sc 1.600 -0.108 8.944
Sc -0.780 0.811 4.303
Tm -2.100 -2.504 4.530
Tm 1.904 1.935 6.025
```


# HgGeF5

A relaxed HgGeF5 crystal (PBE, the Alexandria database).

Symmetry: C2/c, No. 15
E_form (uncorrected): -1.9601 eV/atom

```
14
Lattice="5.695 -0.956 1.178 1.613 5.544 1.178 0.847 0.532 7.210" Properties=species:S:1:pos:R:3 pbc="T T T"
F 3.490 4.811 5.145
F 4.665 0.309 4.420
F 5.591 4.244 2.780
F 2.158 5.147 2.980
F 2.564 0.877 6.785
F 5.427 0.787 1.540
F 5.997 -0.027 6.585
F 2.728 4.333 8.025
F 1.480 1.663 3.180
F 6.675 3.458 6.385
Ge 0.423 0.266 3.605
Ge 0.000 0.000 0.000
Hg 3.946 2.299 2.980
Hg 4.209 2.821 6.585
```


# CdHg3Te4

A relaxed CdHg3Te4 crystal (PBE, the Alexandria database).

Symmetry: Pmn2_1, No. 31
E_form (uncorrected): -0.2319 eV/atom
Energy above the most stable polymorph in this dataset: 0.06 eV per formula unit

```
16
Lattice="-7.688 -0.366 -0.046 0.385 -7.819 -2.159 0.065 -2.491 9.034" Properties=species:S:1:pos:R:3 pbc="T T T"
Te -0.659 -6.573 -1.808
Te -4.512 -7.307 5.303
Te -4.544 -6.064 0.796
Te -4.769 -1.535 -0.389
Te -0.795 -4.524 6.054
Te -4.728 -2.767 4.131
Te -0.828 -3.276 1.528
Te -0.636 -7.806 2.712
Cd -3.507 -7.942 2.695
Cd 0.049 -1.307 -0.361
Hg 0.299 -7.088 5.337
Hg -3.674 -4.651 6.031
Hg 0.266 -5.841 0.815
Hg -3.707 -3.407 1.520
Hg 0.078 -2.547 4.158
Hg -3.542 -6.702 -1.823
```


# AcCd6

A relaxed AcCd6 crystal (PBE, the Alexandria database).

Symmetry: Im-3m, No. 229
Calculated formation energy: 152 kJ/mol of formula units
Energy above the most stable polymorph in this dataset: 2.89 eV per formula unit

```
7
Lattice="6.675 0.000 0.000 -2.225 6.293 0.000 -2.225 -3.146 5.450" Properties=species:S:1:pos:R:3 pbc="T T T"
Cd -1.112 3.146 2.725
Cd 3.337 0.000 2.725
Cd 1.112 -0.787 4.087
Cd -1.112 0.787 4.087
Cd 1.112 3.933 1.362
Cd 3.337 2.360 1.362
Ac 0.000 0.000 0.000
```


# CoTc2Pt

A relaxed CoTc2Pt crystal (PBE, the Alexandria database).

Symmetry: R3m, No. 160
Calculated formation energy: 3 kJ/mol of formula units
Energy above the most stable polymorph in this dataset: 0.23 eV per formula unit

```
4
Lattice="8.948 0.005 0.003 8.534 2.692 0.003 8.534 1.317 2.348" Properties=species:S:1:pos:R:3 pbc="T T T"
Co 13.046 2.013 1.181
Tc 25.934 4.002 2.347
Tc 6.474 0.999 0.586
Pt 19.587 3.022 1.773
```


no.,raw total energy (eV per atom)
1,-4.456
2,-4.270
3,-4.463
4,-5.896
5,-6.101
6,-1.552
7,-3.009
8,-6.435
9,-3.639
10,-5.575
11,-6.456
12,-6.082
13,-4.413
14,-5.843
15,-6.265
16,-6.254
17,-3.999
18,-2.030
19,-1.146
20,-8.461